1.
A plane-wave DFT calculation with PBE was carried out for crystalline PmSmPu2Sb4 at its relaxed geometry.

The calculation puts the total magnetization at 1.257 μB/atom. For the total DFT energy (no corrections), the calculation gives -7.713 eV per atom. The calculation puts the volume at 31.219 Å³ per atom. The calculation puts the raw formation energy at -0.89 eV per atom.

The space group is P2/m (No. 10) and the conventional cell measures 7.7014, 4.4573 and 7.7189 Å, with angles of 90.00, 109.51 and 90.00 degrees. The inequivalent atoms are Pm at (0.0000, 0.0000, 0.0000), Sm at (0.0000, 0.5000, 0.5000), Pu at (0.5000, 0.0000, 0.5000), Pu at (0.5000, 0.5000, 0.0000), Sb at (0.2559, 0.0000, 0.7513) and Sb at (0.2564, 0.5000, 0.2528).

---

2.
A plane-wave DFT calculation with PBE was carried out for crystalline Pm2SmPuSb4 at its relaxed geometry.

The calculation puts the total magnetization at 0.628 μB/atom. For the total DFT energy (no corrections), the calculation gives -6.660 eV per atom. The calculation puts the volume at 31.602 Å³ per atom. The calculation puts the raw formation energy at -1.03 eV per atom.

The space group is P2/m (No. 10) and the conventional cell measures 7.7399, 4.4753 and 7.7404 Å, with angles of 90.00, 109.45 and 90.00 degrees. The inequivalent atoms are Pm at (0.0000, 0.0000, 0.0000), Pm at (0.5000, 0.5000, 0.0000), Sm at (0.0000, 0.5000, 0.5000), Pu at (0.5000, 0.0000, 0.5000), Sb at (0.2511, 0.0000, 0.7470) and Sb at (0.2536, 0.5000, 0.2546).

---

3.
A plane-wave DFT calculation with PBE was carried out for crystalline PmSm2PuSb4 at its relaxed geometry.

The calculation puts the total magnetization at 0.632 μB/atom. For the total DFT energy (no corrections), the calculation gives -6.653 eV per atom. The calculation puts the volume at 31.473 Å³ per atom. The calculation puts the raw formation energy at -1.03 eV per atom.

The space group is I4/mmm (No. 139) and the conventional cell measures 6.3138, 6.3138 and 12.6325 Å, with angles of 90.00, 90.00 and 90.00 degrees. The inequivalent atoms are Pm at (0.0000, 0.0000, 0.0000), Sm at (0.0000, 0.5000, 0.2500), Pu at (0.0000, 0.0000, 0.5000), Sb at (0.0000, 0.0000, 0.2530) and Sb at (0.0000, 0.5000, 0.0000).